(1)
The following is a DFT calculation (GGA+U) of a geometry-optimized Rb2NpFeO6 structure.

## Properties
Final energy, eV for the cell shown: -282.5
Mass density, g cm⁻³: 6.49

Unit cell a=8.303 b=8.303 c=8.303 alpha=90.00 beta=90.00 gamma=90.00
Space group Fm-3m (No. 225)
One atom of each set of equivalent atoms:
Rb1 0.250 0.250 0.250 [8 per cell]
Np1 0.000 0.000 0.000 [4 per cell]
Fe1 0.000 0.000 0.500 [4 per cell]
O1 0.000 0.000 0.247 [24 per cell]



(2)
The following is a DFT calculation (GGA+U) of a geometry-optimized Rb2NpFe2O6 structure.

## Properties
Final energy, eV for the cell shown: -155.2
Mass density, g cm⁻³: 5.62

Unit cell a=5.709 b=9.665 c=6.997 alpha=90.00 beta=109.57 gamma=90.00
Space group C2/m (No. 12)
One atom of each set of equivalent atoms:
Rb1 0.000 0.174 0.000 [4 per cell]
Np1 0.000 0.000 0.500 [2 per cell]
Fe1 0.000 0.335 0.500 [4 per cell]
O1 0.214 0.161 0.669 [8 per cell]
O2 0.243 0.500 0.660 [4 per cell]



(3)
The following is a DFT calculation (GGA+U) of a geometry-optimized Rb2Np3FeO12 structure.

## Properties
Final energy, eV for the cell shown: -449.3
Mass density, g cm⁻³: 5.89

Unit cell a=7.8658 b=7.8658 c=17.8190 alpha=90.00 beta=90.00 gamma=120.00
Space group R-3m (No. 166, hexagonal axes)
One atom of each set of equivalent atoms:
Rb1 0.0000 0.0000 0.1273 [6 per cell]
Np1 0.0000 0.5000 0.0000 [9 per cell]
Fe1 0.0000 0.0000 0.5000 [3 per cell]
O1 0.0756 0.5378 0.3600 [18 per cell]
O2 0.0871 0.5436 0.1036 [18 per cell]



(4)
The following is a DFT calculation (GGA+U) of a geometry-optimized Rb3NpFe2O9 structure.

## Properties
Final energy, eV for the cell shown: -96.5
Mass density, g cm⁻³: 5.85

Unit cell a=5.8425 b=5.8425 c=7.1969 alpha=90.00 beta=90.00 gamma=120.00
Space group P-3m1 (No. 164)
One atom of each set of equivalent atoms:
Rb1 0.0000 0.0000 0.0000 [1 per cell]
Rb2 0.3333 0.6667 0.6716 [2 per cell]
Np1 0.0000 0.0000 0.5000 [1 per cell]
Fe1 0.3333 0.6667 0.1574 [2 per cell]
O1 0.0000 0.5000 0.0000 [3 per cell]
O2 0.1642 0.3284 0.3363 [6 per cell]



(5)
The following is a DFT calculation (GGA+U) of a geometry-optimized NpFeReO6 structure.

## Properties
Final energy, eV for the cell shown: -154.5
Mass density, g cm⁻³: 8.78

Unit cell a=5.2689 b=5.2689 c=9.0465 alpha=90.00 beta=90.00 gamma=120.00
Space group P-31c (No. 163)
One atom of each set of equivalent atoms:
Np1 0.3333 0.6667 0.2500 [2 per cell]
Fe1 0.3333 0.6667 0.7500 [2 per cell]
Re1 0.0000 0.0000 0.0000 [2 per cell]
O1 0.0026 0.3137 0.6240 [12 per cell]



(6)
The following is a DFT calculation (GGA+U) of a geometry-optimized NpFeRuO6 structure.

## Properties
Final energy, eV for the cell shown: -143.9
Mass density, g cm⁻³: 8.01

Unit cell a=5.1467 b=5.1467 c=8.8579 alpha=90.00 beta=90.00 gamma=120.00
Space group P-31c (No. 163)
One atom of each set of equivalent atoms:
Np1 0.3333 0.6667 0.2500 [2 per cell]
Fe1 0.3333 0.6667 0.7500 [2 per cell]
Ru1 0.0000 0.0000 0.0000 [2 per cell]
O1 0.0153 0.3378 0.6275 [12 per cell]



(7)
The following is a DFT calculation (GGA+U) of a geometry-optimized NpFeSbO6 structure.

## Properties
Final energy, eV for the cell shown: -139.5
Mass density, g cm⁻³: 6.93

Unit cell a=5.3954 b=5.3954 c=9.7125 alpha=90.00 beta=90.00 gamma=120.00
Space group P-31c (No. 163)
One atom of each set of equivalent atoms:
Np1 0.3333 0.6667 0.2500 [2 per cell]
Fe1 0.3333 0.6667 0.7500 [2 per cell]
Sb1 0.0000 0.0000 0.0000 [2 per cell]
O1 0.0037 0.3530 0.6365 [12 per cell]



(8)
The following is a DFT calculation (GGA+U) of a geometry-optimized NpSc2FeO8 structure.

## Properties
Final energy, eV for the cell shown: -206.2
Mass density, g cm⁻³: 5.64

Unit cell a=6.684 b=6.947 c=6.478 alpha=90.00 beta=90.00 gamma=90.00
Space group Cmmm (No. 65)
One atom of each set of equivalent atoms:
Np1 0.000 0.000 0.000 [2 per cell]
Sc1 0.000 0.500 0.269 [4 per cell]
Fe1 0.000 0.000 0.500 [2 per cell]
O1 0.000 0.188 0.242 [8 per cell]
O2 0.201 0.500 0.000 [4 per cell]
O3 0.204 0.500 0.500 [4 per cell]



(9)
The following is a DFT calculation (GGA+U) of a geometry-optimized NpScFe2O6 structure.

## Properties
Final energy, eV for the cell shown: -84.6
Mass density, g cm⁻³: 6.51

Unit cell a=5.422 b=5.447 c=5.753 alpha=62.56 beta=62.77 gamma=60.20
Space group P1 (No. 1)
One atom of each set of equivalent atoms:
Np1 0.000 0.000 0.000 [1 per cell]
Sc1 0.499 0.494 0.511 [1 per cell]
Fe1 0.204 0.206 0.385 [1 per cell]
Fe2 0.709 0.686 0.895 [1 per cell]
O1 0.115 0.390 0.701 [1 per cell]
O2 0.276 0.899 0.225 [1 per cell]
O3 0.406 0.774 0.720 [1 per cell]
O4 0.600 0.288 0.216 [1 per cell]
O5 0.788 0.103 0.715 [1 per cell]
O6 0.887 0.604 0.205 [1 per cell]



(10)
The following is a DFT calculation (GGA+U) of a geometry-optimized Sm2NpFeO8 structure.

## Properties
Final energy, eV for the cell shown: -99.0
Mass density, g cm⁻³: 7.02

Unit cell a=4.554 b=5.211 c=7.290 alpha=82.92 beta=87.48 gamma=83.92
Space group P-1 (No. 2)
One atom of each set of equivalent atoms:
Sm1 0.090 0.017 0.235 [2 per cell]
Np1 0.500 0.500 0.500 [1 per cell]
Fe1 0.500 0.500 0.000 [1 per cell]
O1 0.133 0.733 0.523 [2 per cell]
O2 0.214 0.785 0.992 [2 per cell]
O3 0.361 0.370 0.242 [2 per cell]
O4 0.380 0.211 0.672 [2 per cell]



(11)
The following is a DFT calculation (GGA+U) of a geometry-optimized NpFeSnO6 structure.

## Properties
Final energy, eV for the cell shown: -137.7
Mass density, g cm⁻³: 7.69

Unit cell a=5.1927 b=5.1927 c=9.3889 alpha=90.00 beta=90.00 gamma=120.00
Space group P-31c (No. 163)
One atom of each set of equivalent atoms:
Np1 0.3333 0.6667 0.2500 [2 per cell]
Fe1 0.3333 0.6667 0.7500 [2 per cell]
Sn1 0.0000 0.0000 0.0000 [2 per cell]
O1 0.0028 0.3347 0.6287 [12 per cell]



(12)
The following is a DFT calculation (GGA+U) of a geometry-optimized SrNpFeO5 structure.

## Properties
Final energy, eV for the cell shown: -262.4
Mass density, g cm⁻³: 6.02

Unit cell a=7.030 b=9.816 c=8.101 alpha=90.00 beta=114.68 gamma=90.00
Space group C2/c (No. 15)
One atom of each set of equivalent atoms:
Sr1 0.000 0.178 0.250 [4 per cell]
Np1 0.000 0.500 0.000 [4 per cell]
Fe1 0.000 0.187 0.750 [4 per cell]
O1 0.000 0.433 0.250 [4 per cell]
O2 0.085 0.299 0.586 [8 per cell]
O3 0.194 0.041 0.910 [8 per cell]



(13)
The following is a DFT calculation (GGA+U) of a geometry-optimized SrNpFe2O8 structure.

## Properties
Final energy, eV for the cell shown: -87.5
Mass density, g cm⁻³: 4.62

Unit cell a=5.7761 b=5.7761 c=7.0222 alpha=90.00 beta=90.00 gamma=120.00
Space group P-3 (No. 147)
One atom of each set of equivalent atoms:
Sr1 0.0000 0.0000 0.0000 [1 per cell]
Np1 0.0000 0.0000 0.5000 [1 per cell]
Fe1 0.3333 0.6667 0.7740 [2 per cell]
O1 0.1437 0.3101 0.6832 [6 per cell]
O2 0.3333 0.6667 0.0203 [2 per cell]



(14)
The following is a DFT calculation (GGA+U) of a geometry-optimized NpTaFeO6 structure.

## Properties
Final energy, eV for the cell shown: -166.3
Mass density, g cm⁻³: 8.13

Unit cell a=4.897 b=4.897 c=9.705 alpha=90.00 beta=90.00 gamma=90.00
Space group P4_2nm (No. 102)
One atom of each set of equivalent atoms:
Np1 0.000 0.000 0.000 [2 per cell]
Ta1 0.000 0.000 0.663 [2 per cell]
Fe1 0.000 0.000 0.328 [2 per cell]
O1 0.190 0.190 0.819 [4 per cell]
O2 0.193 0.193 0.508 [4 per cell]
O3 0.210 0.210 0.161 [4 per cell]



(15)
The following is a DFT calculation (GGA+U) of a geometry-optimized NpFeTcO6 structure.

## Properties
Final energy, eV for the cell shown: -150.5
Mass density, g cm⁻³: 7.51

Unit cell a=5.2639 b=5.2639 c=8.9750 alpha=90.00 beta=90.00 gamma=120.00
Space group P-31c (No. 163)
One atom of each set of equivalent atoms:
Np1 0.3333 0.6667 0.2500 [2 per cell]
Fe1 0.3333 0.6667 0.7500 [2 per cell]
Tc1 0.0000 0.0000 0.0000 [2 per cell]
O1 0.0035 0.3248 0.6264 [12 per cell]



(16)
The following is a DFT calculation (GGA+U) of a geometry-optimized NpTl2FeO8 structure.

## Properties
Final energy, eV for the cell shown: -79.6
Mass density, g cm⁻³: 7.99

Unit cell a=5.071 b=5.116 c=6.700 alpha=86.53 beta=86.31 gamma=84.96
Space group P-1 (No. 2)
One atom of each set of equivalent atoms:
Np1 0.000 0.000 0.000 [1 per cell]
Tl1 0.461 0.462 0.266 [2 per cell]
Fe1 0.000 0.000 0.500 [1 per cell]
O1 0.164 0.150 0.256 [2 per cell]
O2 0.193 0.178 0.793 [2 per cell]
O3 0.275 0.711 0.502 [2 per cell]
O4 0.291 0.692 0.000 [2 per cell]



(17)
The following is a DFT calculation (GGA+U) of a geometry-optimized NpTlFe2O6 structure.

## Properties
Final energy, eV for the cell shown: -73.5
Mass density, g cm⁻³: 7.84

Unit cell a=5.547 b=5.603 c=5.918 alpha=63.99 beta=63.61 gamma=60.47
Space group P1 (No. 1)
One atom of each set of equivalent atoms:
Np1 0.000 0.000 0.000 [1 per cell]
Tl1 0.513 0.515 0.453 [1 per cell]
Fe1 0.291 0.332 0.072 [1 per cell]
Fe2 0.799 0.778 0.621 [1 per cell]
O1 0.085 0.390 0.808 [1 per cell]
O2 0.184 0.957 0.255 [1 per cell]
O3 0.393 0.725 0.807 [1 per cell]
O4 0.598 0.196 0.250 [1 per cell]
O5 0.754 0.053 0.790 [1 per cell]
O6 0.933 0.617 0.293 [1 per cell]



(18)
The following is a DFT calculation (GGA+U) of a geometry-optimized NpTl3Fe2O9 structure.

## Properties
Final energy, eV for the cell shown: -96.5
Mass density, g cm⁻³: 8.97

Unit cell a=5.7521 b=5.7521 c=7.1440 alpha=90.00 beta=90.00 gamma=120.00
Space group P-3m1 (No. 164)
One atom of each set of equivalent atoms:
Np1 0.0000 0.0000 0.0000 [1 per cell]
Tl1 0.0000 0.0000 0.5000 [1 per cell]
Tl2 0.3333 0.6667 0.2186 [2 per cell]
Fe1 0.3333 0.6667 0.6597 [2 per cell]
O1 0.0000 0.5000 0.5000 [3 per cell]
O2 0.1665 0.3330 0.8341 [6 per cell]